## Er2MgIn (PBE)

Data for a geometry-optimized Er2MgIn structure.

Calculated values
Energy above the most stable polymorph in this dataset, eV/f.u.: 0.04
Energy relative to the elements, meV per atom: -293
Size of the total moment, μB/cell: 0.00

Lattice parameters (Å, degrees): 4.952 4.952 4.242 90.00 90.00 90.00
Positions (direct):
Er 0.000 0.500 0.000
Er 0.500 0.000 0.000
Mg 0.000 0.000 0.500
In 0.500 0.500 0.500

## Er2MgIn (PBE)

Data for a geometry-optimized Er2MgIn structure.

Calculated values
Energy above the most stable polymorph in this dataset, eV/f.u.: 0.83
Energy relative to the elements, meV per atom: -96
Size of the total moment, μB/cell: 0.00

Lattice parameters (Å, degrees): 3.527 3.527 10.628 99.50 99.50 60.02
Positions (direct):
Er 0.000 0.000 0.000
Er 0.175 0.175 0.522
Mg 0.754 0.754 0.261
In 0.588 0.588 0.761

## Er2Mg2In (PBE)

Data for a geometry-optimized Er2Mg2In structure.

Calculated values
Energy relative to the elements, meV per atom: -183
Size of the total moment, μB/cell: 0.00

Lattice parameters (Å, degrees): 6.180 6.180 9.354 106.54 106.54 49.06
Positions (direct):
Er 0.044 0.044 0.345
Er 0.163 0.163 0.055
Er 0.837 0.837 0.945
Er 0.956 0.956 0.655
Mg 0.361 0.361 0.423
Mg 0.476 0.476 0.142
Mg 0.524 0.524 0.858
Mg 0.639 0.639 0.577
In 0.254 0.254 0.712
In 0.746 0.746 0.288

Number 1: Fermi-level density of states 3.32 states/eV per cell, E -14.63 eV/f.u.. Number 2: Fermi-level density of states 4.86 states/eV per cell, E -13.84 eV/f.u.. Number 3: Fermi-level density of states 7.35 states/eV per cell, E -15.97 eV/f.u..